Below is an optimized crystal structure of K2Ge2O3, with properties calculated at the PBE-GGA level.

The total energy comes out at -146.6 eV per cell. The total magnetization is 0.000 μB/atom.

The space group is I2_13 (No. 199) and the conventional cell measures 8.164, 8.164 and 8.164 Å, with angles of 90.00, 90.00 and 90.00 degrees. The asymmetric unit holds K at (0.247, 0.253, 0.747), Ge at (0.018, 0.018, 0.018) and O at (0.000, 0.250, 0.993).



Below is an optimized crystal structure of K5GeO4, with properties calculated at the PBE-GGA level.

The total energy comes out at -87.2 eV per cell. The total magnetization is 0.049 μB/atom.

The space group is Pmmn (No. 59, origin choice 2) and the conventional cell measures 7.904, 8.916 and 6.300 Å, with angles of 90.00, 90.00 and 90.00 degrees. The asymmetric unit holds K at (0.003, 0.063, 0.241), K at (0.250, 0.750, 0.299), Ge at (0.250, 0.250, 0.700), O at (0.059, 0.250, 0.862) and O at (0.250, 0.082, 0.536).



Below is an optimized crystal structure of KGeO2, with properties calculated at the PBE-GGA level.

The total energy comes out at -58.1 eV per cell. The total magnetization is 0.000 μB/atom.

The space group is R-3m (No. 166, hexagonal axes) and the conventional cell measures 3.2082, 3.2082 and 20.8255 Å, with angles of 90.00, 90.00 and 120.00 degrees. The asymmetric unit holds K at (0.0000, 0.0000, 0.0000), Ge at (0.0000, 0.0000, 0.5000) and O at (0.0000, 0.0000, 0.1194).



Formation energy from raw total energies values (in meV/atom) by entry order: -1476.4; -1364.9; -931.2.
DOS at the Fermi energy values (in states/eV/f.u.) by entry order: 0.0; 1.9; 2.6.